Entry 1:
# GGA-PBE LaPr2Ga2, relaxed
# Space group ... Immm (71)
# Energy above the most stable polymorph in this dataset ... 0.0 kJ/mol of atoms
# Total energy ... -22.89 eV/cell
# Energy relative to the elements ... -0.470 eV/atom
data_LaPr2Ga2
_symmetry_space_group_name_H-M 'P 1'
_symmetry_Int_Tables_number 1
_symmetry_space_group_name_Hall 'P 1'
_cell_length_a 4.926
_cell_length_b 5.915
_cell_length_c 5.915
_cell_angle_alpha 71.96
_cell_angle_beta 65.39
_cell_angle_gamma 65.39
loop_
_atom_site_label
_atom_site_type_symbol
_atom_site_fract_x
_atom_site_fract_y
_atom_site_fract_z
_atom_site_occupancy
Pr1 Pr 0.800 0.700 0.700 1
Pr2 Pr 0.200 0.300 0.300 1
La1 La 0.000 0.000 0.000 1
Ga1 Ga 0.500 0.308 0.692 1
Ga2 Ga 0.500 0.692 0.308 1

***

Entry 2:
# GGA-PBE La3Pr3Ga2, relaxed
# Space group ... C2/m (12)
# Total energy ... -36.72 eV/cell
# Energy relative to the elements ... -0.194 eV/atom
data_La3Pr3Ga2
_symmetry_space_group_name_H-M 'P 1'
_symmetry_Int_Tables_number 1
_symmetry_space_group_name_Hall 'P 1'
_cell_length_a 4.103
_cell_length_b 6.064
_cell_length_c 11.147
_cell_angle_alpha 74.86
_cell_angle_beta 79.43
_cell_angle_gamma 90.01
loop_
_atom_site_label
_atom_site_type_symbol
_atom_site_fract_x
_atom_site_fract_y
_atom_site_fract_z
_atom_site_occupancy
Ga1 Ga 0.241 0.140 0.518 1
Ga2 Ga 0.759 0.860 0.482 1
Pr1 Pr 0.000 0.000 0.000 1
Pr2 Pr 0.166 0.542 0.668 1
Pr3 Pr 0.834 0.458 0.332 1
La1 La 0.368 0.993 0.263 1
La2 La 0.632 0.007 0.737 1
La3 La 0.500 0.500 0.000 1

***

Entry 3:
# GGA-PBE La3PrGa2, relaxed
# Space group ... Pmc2_1 (26)
# Energy above the most stable polymorph in this dataset ... 0.0 kJ/mol of atoms
# Total energy ... -56.19 eV/cell
# Energy relative to the elements ... -0.414 eV/atom
data_La3PrGa2
_symmetry_space_group_name_H-M 'P 1'
_symmetry_Int_Tables_number 1
_symmetry_space_group_name_Hall 'P 1'
_cell_length_a 5.293
_cell_length_b 6.811
_cell_length_c 9.872
_cell_angle_alpha 90.00
_cell_angle_beta 90.00
_cell_angle_gamma 90.00
loop_
_atom_site_label
_atom_site_type_symbol
_atom_site_fract_x
_atom_site_fract_y
_atom_site_fract_z
_atom_site_occupancy
La1 La 0.500 0.193 0.833 1
La2 La 0.500 0.693 0.167 1
La3 La 0.000 0.994 0.060 1
La4 La 0.000 0.807 0.668 1
La5 La 0.000 0.307 0.332 1
La6 La 0.000 0.494 0.940 1
Pr1 Pr 0.500 0.005 0.441 1
Pr2 Pr 0.500 0.505 0.559 1
Ga1 Ga 0.000 0.784 0.350 1
Ga2 Ga 0.000 0.284 0.650 1
Ga3 Ga 0.500 0.216 0.152 1
Ga4 Ga 0.500 0.716 0.848 1

***

Entry 4:
# GGA-PBE La4PrGa5, relaxed
# Space group ... P4/mmm (123)
# Total energy ... -45.27 eV/cell
# Energy relative to the elements ... -0.564 eV/atom
data_La4PrGa5
_symmetry_space_group_name_H-M 'P 1'
_symmetry_Int_Tables_number 1
_symmetry_space_group_name_Hall 'P 1'
_cell_length_a 3.759
_cell_length_b 3.759
_cell_length_c 18.856
_cell_angle_alpha 90.00
_cell_angle_beta 90.00
_cell_angle_gamma 90.00
loop_
_atom_site_label
_atom_site_type_symbol
_atom_site_fract_x
_atom_site_fract_y
_atom_site_fract_z
_atom_site_occupancy
La1 La 0.000 0.000 0.400 1
La2 La 0.000 0.000 0.600 1
La3 La 0.000 0.000 0.199 1
La4 La 0.000 0.000 0.801 1
Ga1 Ga 0.500 0.500 0.500 1
Ga2 Ga 0.500 0.500 0.097 1
Ga3 Ga 0.500 0.500 0.903 1
Ga4 Ga 0.500 0.500 0.701 1
Ga5 Ga 0.500 0.500 0.299 1
Pr1 Pr 0.000 0.000 0.000 1

***

Entry 5:
# GGA-PBE LaPr5Ga5, relaxed
# Space group ... C2/m (12)
# Total energy ... -47.43 eV/cell
# Energy relative to the elements ... -0.315 eV/atom
data_LaPr5Ga5
_symmetry_space_group_name_H-M 'P 1'
_symmetry_Int_Tables_number 1
_symmetry_space_group_name_Hall 'P 1'
_cell_length_a 5.915
_cell_length_b 8.386
_cell_length_c 7.074
_cell_angle_alpha 99.25
_cell_angle_beta 90.00
_cell_angle_gamma 110.65
loop_
_atom_site_label
_atom_site_type_symbol
_atom_site_fract_x
_atom_site_fract_y
_atom_site_fract_z
_atom_site_occupancy
Pr1 Pr 0.360 0.719 0.603 1
Pr2 Pr 0.316 0.633 0.100 1
Pr3 Pr 0.000 0.000 0.500 1
Pr4 Pr 0.640 0.281 0.397 1
Pr5 Pr 0.684 0.367 0.900 1
Ga1 Ga 0.180 0.360 0.718 1
Ga2 Ga 0.500 0.000 0.000 1
Ga3 Ga 0.168 0.336 0.325 1
Ga4 Ga 0.820 0.640 0.282 1
Ga5 Ga 0.832 0.664 0.675 1
La1 La 0.000 0.000 0.000 1

***

Entry 6:
# GGA-PBE La5Pr4Ga4, relaxed
# Space group ... I4/m (87)
# Total energy ... -60.66 eV/cell
# Energy relative to the elements ... -0.369 eV/atom
data_La5Pr4Ga4
_symmetry_space_group_name_H-M 'P 1'
_symmetry_Int_Tables_number 1
_symmetry_space_group_name_Hall 'P 1'
_cell_length_a 5.215
_cell_length_b 9.084
_cell_length_c 9.084
_cell_angle_alpha 85.27
_cell_angle_beta 73.32
_cell_angle_gamma 73.32
loop_
_atom_site_label
_atom_site_type_symbol
_atom_site_fract_x
_atom_site_fract_y
_atom_site_fract_z
_atom_site_occupancy
La1 La 0.312 0.079 0.297 1
La2 La 0.609 0.703 0.079 1
La3 La 0.688 0.921 0.703 1
La4 La 0.391 0.297 0.921 1
La5 La 0.000 0.000 0.000 1
Pr1 Pr 0.373 0.720 0.533 1
Pr2 Pr 0.093 0.533 0.280 1
Pr3 Pr 0.627 0.280 0.467 1
Pr4 Pr 0.907 0.467 0.720 1
Ga1 Ga 0.768 0.344 0.120 1
Ga2 Ga 0.112 0.120 0.656 1
Ga3 Ga 0.232 0.656 0.880 1
Ga4 Ga 0.888 0.880 0.344 1

***

Entry 7:
# GGA-PBE LaPrGa2, relaxed
# Space group ... Fm-3m (225)
# Energy above the most stable polymorph in this dataset ... 3.4 kJ/mol of atoms
# Total energy ... -17.97 eV/cell
# Energy relative to the elements ... -0.551 eV/atom
data_LaPrGa2
_symmetry_space_group_name_H-M 'P 1'
_symmetry_Int_Tables_number 1
_symmetry_space_group_name_Hall 'P 1'
_cell_length_a 5.308
_cell_length_b 5.308
_cell_length_c 5.308
_cell_angle_alpha 60.00
_cell_angle_beta 60.00
_cell_angle_gamma 60.00
loop_
_atom_site_label
_atom_site_type_symbol
_atom_site_fract_x
_atom_site_fract_y
_atom_site_fract_z
_atom_site_occupancy
Ga1 Ga 0.250 0.250 0.250 1
Ga2 Ga 0.750 0.750 0.750 1
La1 La 0.500 0.500 0.500 1
Pr1 Pr 0.000 0.000 0.000 1

***

Entry 8:
# GGA-PBE La2PrGa6, relaxed
# Space group ... P6/mmm (191)
# Energy above the most stable polymorph in this dataset ... 0.0 kJ/mol of atoms
# Total energy ... -39.07 eV/cell
# Energy relative to the elements ... -0.697 eV/atom
data_La2PrGa6
_symmetry_space_group_name_H-M 'P 1'
_symmetry_Int_Tables_number 1
_symmetry_space_group_name_Hall 'P 1'
_cell_length_a 4.436
_cell_length_b 7.467
_cell_length_c 7.467
_cell_angle_alpha 120.00
_cell_angle_beta 90.00
_cell_angle_gamma 90.00
loop_
_atom_site_label
_atom_site_type_symbol
_atom_site_fract_x
_atom_site_fract_y
_atom_site_fract_z
_atom_site_occupancy
La1 La 0.000 0.333 0.667 1
La2 La 0.000 0.667 0.333 1
Ga1 Ga 0.500 0.332 0.000 1
Ga2 Ga 0.500 0.668 0.668 1
Ga3 Ga 0.500 0.332 0.332 1
Ga4 Ga 0.500 0.000 0.668 1
Ga5 Ga 0.500 0.000 0.332 1
Ga6 Ga 0.500 0.668 0.000 1
Pr1 Pr 0.000 0.000 0.000 1

***

Across the entries above, DOS at the Fermi energy takes the values 4.7; 9.6; 10.6; 7.0; 12.8; 14.9; 2.2; 6.2 states/eV per cell, respectively.